Material: TcMo3
Method: DFT, meta-GGA SCAN
State: single point on PBEsol structure

Cell and atoms, written as POSCAR:
```
TcMo3
1.0
4.392 0.000 0.000
2.196 3.804 0.000
2.196 1.268 3.586
Tc Mo
1 3
Direct
0.000 0.000 0.000
0.750 0.750 0.750
0.250 0.250 0.250
0.500 0.500 0.500
```

## Properties
Distance to the lowest polymorph of the same formula, eV/atom: 0.0118
ΔE_f, meV/atom: 30.8
N(E_F), states/eV/f.u.: 3.74
E_tot, eV/atom: -34.8981